No. 1
## Ca2MnRuBr (PBE)

Data for a relaxed Ca2MnRuBr crystal.

a = 5.425 Å, b = 4.663 Å, c = 5.425 Å
α = 90.00°, β = 90.00°, γ = 90.00°
Last column: magnetic moment on the atom in μB.
Sites, in units of the cell vectors:
Ru  0.000  0.500  0.000  0.53
Ca  0.000  0.000  0.500  -0.03
Ca  0.500  0.000  0.000  -0.04
Mn  0.500  0.500  0.500  4.23
Br  0.000  0.000  0.000  0.02

Values from the calculation:
Space-group type   P4/mmm

No. 2
## CaMnSnBr6 (PBE)

Data for a relaxed CaMnSnBr6 crystal.

a = 7.153 Å, b = 7.153 Å, c = 13.048 Å
α = 90.00°, β = 90.00°, γ = 120.00°
Last column: magnetic moment on the atom in μB.
Sites, in units of the cell vectors:
Ca  0.333  0.667  0.250  0.00
Ca  0.667  0.333  0.750  0.00
Mn  0.667  0.333  0.250  4.38
Mn  0.333  0.667  0.750  4.38
Sn  0.000  0.000  0.000  0.03
Sn  0.000  0.000  0.500  0.03
Br  0.661  0.638  0.130  0.03
Br  0.977  0.339  0.130  0.03
Br  0.339  0.977  0.630  0.03
Br  0.023  0.661  0.870  0.03
Br  0.362  0.339  0.370  0.03
Br  0.977  0.638  0.370  0.03
Br  0.638  0.977  0.870  0.03
Br  0.661  0.023  0.370  0.03
Br  0.023  0.362  0.630  0.03
Br  0.362  0.023  0.130  0.03
Br  0.638  0.661  0.630  0.03
Br  0.339  0.362  0.870  0.03

Values from the calculation:
Space-group type   P-31c

No. 3
## CaMnSn2Br8 (PBE)

Data for a relaxed CaMnSn2Br8 crystal.

a = 7.012 Å, b = 6.658 Å, c = 8.580 Å
α = 90.00°, β = 90.00°, γ = 89.58°
Last column: magnetic moment on the atom in μB.
Sites, in units of the cell vectors:
Ca  0.000  0.000  0.500  0.00
Mn  0.000  0.000  0.000  4.39
Sn  0.500  0.500  0.759  0.02
Sn  0.500  0.500  0.241  0.02
Br  0.153  0.776  0.232  0.03
Br  0.684  0.760  0.000  0.02
Br  0.847  0.224  0.232  0.03
Br  0.847  0.224  0.768  0.03
Br  0.316  0.240  0.000  0.02
Br  0.153  0.776  0.768  0.03
Br  0.664  0.742  0.500  0.01
Br  0.336  0.258  0.500  0.01

Values from the calculation:
Space-group type   P2/m

Formation energy without anion corrections values, unit eV per atom, following the record order: 0.46; -1.17; -1.05.